# 1
# YMgAgAu2 | Alexandria via LeMat-Bulk | PBE | relaxed
# * volume: 26.424 Å³/atom
# * energy relative to the elements: 0.42 eV per atom
data_YMgAgAu2
_chemical_formula_sum 'Y1 Mg1 Ag1 Au2'
_cell_length_a 4.863
_cell_length_b 4.863
_cell_length_c 5.587
_cell_angle_alpha 90.00
_cell_angle_beta 90.00
_cell_angle_gamma 90.00
_space_group_name_H-M_alt 'P 4/m m m'
_space_group_IT_number 123
_space_group_name_Hall '-P 4 2'
loop_
_atom_site_label
_atom_site_fract_x
_atom_site_fract_y
_atom_site_fract_z
_atom_site_occupancy
Y1 0.000 0.000 0.000 1
Mg1 0.000 0.000 0.500 1
Ag1 0.500 0.500 0.000 1
Au1 0.000 0.500 0.500 1

# 2
# MgZn2Ag5Au | Alexandria via LeMat-Bulk | PBE | relaxed
# * volume: 18.730 Å³/atom
# * energy relative to the elements: 0.09 eV per atom
data_MgZn2Ag5Au
_chemical_formula_sum 'Mg1 Zn2 Ag5 Au1'
_cell_length_a 4.665
_cell_length_b 4.665
_cell_length_c 7.744
_cell_angle_alpha 90.00
_cell_angle_beta 90.00
_cell_angle_gamma 90.00
_space_group_name_H-M_alt 'P 4/m m m'
_space_group_IT_number 123
_space_group_name_Hall '-P 4 2'
loop_
_atom_site_label
_atom_site_fract_x
_atom_site_fract_y
_atom_site_fract_z
_atom_site_occupancy
Mg1 0.000 0.000 0.000 1
Zn1 0.500 0.500 0.351 1
Ag1 0.000 0.500 0.220 1
Ag2 0.500 0.500 0.000 1
Au1 0.000 0.000 0.500 1

# 3
# Mg3Zn2AgAu3 | Alexandria via LeMat-Bulk | PBE | relaxed
# * volume: 17.454 Å³/atom
# * energy relative to the elements: -0.30 eV per atom
data_Mg3Zn2AgAu3
_chemical_formula_sum 'Mg3 Zn2 Ag1 Au3'
_cell_length_a 7.7228
_cell_length_b 7.7228
_cell_length_c 3.0412
_cell_angle_alpha 90.00
_cell_angle_beta 90.00
_cell_angle_gamma 120.00
_space_group_name_H-M_alt 'P -6 2 m'
_space_group_IT_number 189
_space_group_name_Hall 'P -6 -2'
loop_
_atom_site_label
_atom_site_fract_x
_atom_site_fract_y
_atom_site_fract_z
_atom_site_occupancy
Mg1 0.0000 0.2964 0.0000 1
Zn1 0.3333 0.6667 0.0000 1
Ag1 0.0000 0.0000 0.5000 1
Au1 0.0000 0.6200 0.5000 1

# 4
# Mg4Zn2Ag2Au | Alexandria via LeMat-Bulk | PBE | relaxed
# * volume: 18.994 Å³/atom
# * energy relative to the elements: -0.20 eV per atom
data_Mg4Zn2Ag2Au
_chemical_formula_sum 'Mg4 Zn2 Ag2 Au1'
_cell_length_a 5.303
_cell_length_b 6.055
_cell_length_c 6.103
_cell_angle_alpha 105.91
_cell_angle_beta 91.69
_cell_angle_gamma 113.31
_space_group_name_H-M_alt 'P -1'
_space_group_IT_number 2
_space_group_name_Hall '-P 1'
loop_
_atom_site_label
_atom_site_fract_x
_atom_site_fract_y
_atom_site_fract_z
_atom_site_occupancy
Mg1 0.168 0.253 0.175 1
Mg2 0.325 0.144 0.645 1
Zn1 0.276 0.613 0.611 1
Ag1 0.099 0.714 0.222 1
Au1 0.500 0.000 0.000 1

# 5
# Mg2ZnAg2Au4 | Alexandria via LeMat-Bulk | PBE | relaxed
# * volume: 19.740 Å³/atom
# * energy relative to the elements: -0.11 eV per atom
data_Mg2ZnAg2Au4
_chemical_formula_sum 'Mg4 Zn2 Ag4 Au8'
_cell_length_a 6.455
_cell_length_b 6.455
_cell_length_c 8.528
_cell_angle_alpha 90.00
_cell_angle_beta 90.00
_cell_angle_gamma 90.00
_space_group_name_H-M_alt 'I 4/m m m'
_space_group_IT_number 139
_space_group_name_Hall '-I 4 2'
loop_
_atom_site_label
_atom_site_fract_x
_atom_site_fract_y
_atom_site_fract_z
_atom_site_occupancy
Mg1 0.000 0.500 0.250 1
Zn1 0.000 0.000 0.000 1
Ag1 0.000 0.000 0.286 1
Au1 0.231 0.231 0.500 1

# 6
# Mg2Zn5Ag2Au3 | Alexandria via LeMat-Bulk | PBE | relaxed
# * volume: 17.882 Å³/atom
# * energy relative to the elements: -0.11 eV per atom
data_Mg2Zn5Ag2Au3
_chemical_formula_sum 'Mg4 Zn10 Ag4 Au6'
_cell_length_a 3.797
_cell_length_b 3.797
_cell_length_c 29.767
_cell_angle_alpha 90.00
_cell_angle_beta 90.00
_cell_angle_gamma 90.00
_space_group_name_H-M_alt 'I 4/m m m'
_space_group_IT_number 139
_space_group_name_Hall '-I 4 2'
loop_
_atom_site_label
_atom_site_fract_x
_atom_site_fract_y
_atom_site_fract_z
_atom_site_occupancy
Mg1 0.000 0.000 0.223 1
Zn1 0.000 0.000 0.500 1
Zn2 0.000 0.500 0.071 1
Ag1 0.000 0.000 0.322 1
Au1 0.000 0.000 0.000 1
Au2 0.000 0.000 0.134 1

# 7
# Mg2ZnAgAu5 | Alexandria via LeMat-Bulk | PBE | relaxed
# * volume: 19.439 Å³/atom
# * energy relative to the elements: -0.02 eV per atom
data_Mg2ZnAgAu5
_chemical_formula_sum 'Mg8 Zn4 Ag4 Au20'
_cell_length_a 6.854
_cell_length_b 6.854
_cell_length_c 14.895
_cell_angle_alpha 90.00
_cell_angle_beta 90.00
_cell_angle_gamma 90.00
_space_group_name_H-M_alt 'I 4/m c m'
_space_group_IT_number 140
_space_group_name_Hall '-I 4 2c'
loop_
_atom_site_label
_atom_site_fract_x
_atom_site_fract_y
_atom_site_fract_z
_atom_site_occupancy
Mg1 0.141 0.359 0.000 1
Zn1 0.000 0.000 0.250 1
Ag1 0.000 0.500 0.250 1
Au1 0.000 0.000 0.000 1
Au2 0.236 0.264 0.348 1

# 8
# MgZnAg2Au | Alexandria via LeMat-Bulk | PBE | relaxed
# * volume: 18.286 Å³/atom
# * energy relative to the elements: -0.13 eV per atom
data_MgZnAg2Au
_chemical_formula_sum 'Mg4 Zn4 Ag8 Au4'
_cell_length_a 2.960
_cell_length_b 13.830
_cell_length_c 8.934
_cell_angle_alpha 90.00
_cell_angle_beta 90.00
_cell_angle_gamma 90.00
_space_group_name_H-M_alt 'C m c m'
_space_group_IT_number 63
_space_group_name_Hall '-C 2c 2'
loop_
_atom_site_label
_atom_site_fract_x
_atom_site_fract_y
_atom_site_fract_z
_atom_site_occupancy
Mg1 0.000 0.157 0.250 1
Zn1 0.000 0.000 0.000 1
Ag1 0.000 0.186 0.592 1
Au1 0.000 0.480 0.250 1

# 9
# Mg2Zn2AgAu2 | Alexandria via LeMat-Bulk | PBE | relaxed
# * volume: 17.381 Å³/atom
# * energy relative to the elements: -0.25 eV per atom
data_Mg2Zn2AgAu2
_chemical_formula_sum 'Mg4 Zn4 Ag2 Au4'
_cell_length_a 9.427
_cell_length_b 4.088
_cell_length_c 6.333
_cell_angle_alpha 90.00
_cell_angle_beta 94.42
_cell_angle_gamma 90.00
_space_group_name_H-M_alt 'C 1 2/m 1'
_space_group_IT_number 12
_space_group_name_Hall '-C 2y'
loop_
_atom_site_label
_atom_site_fract_x
_atom_site_fract_y
_atom_site_fract_z
_atom_site_occupancy
Mg1 0.207 0.000 0.159 1
Zn1 0.079 0.000 0.704 1
Ag1 0.000 0.500 0.000 1
Au1 0.140 0.500 0.425 1

# 10
# Mg3Zn2Ag3Au | Alexandria via LeMat-Bulk | PBE | relaxed
# * volume: 17.839 Å³/atom
# * energy relative to the elements: -0.21 eV per atom
data_Mg3Zn2Ag3Au
_chemical_formula_sum 'Mg3 Zn2 Ag3 Au1'
_cell_length_a 7.7571
_cell_length_b 7.7571
_cell_length_c 3.0810
_cell_angle_alpha 90.00
_cell_angle_beta 90.00
_cell_angle_gamma 120.00
_space_group_name_H-M_alt 'P -6 2 m'
_space_group_IT_number 189
_space_group_name_Hall 'P -6 -2'
loop_
_atom_site_label
_atom_site_fract_x
_atom_site_fract_y
_atom_site_fract_z
_atom_site_occupancy
Mg1 0.0000 0.2888 0.0000 1
Zn1 0.3333 0.6667 0.0000 1
Ag1 0.0000 0.6150 0.5000 1
Au1 0.0000 0.0000 0.5000 1

# 11
# MgZn2AgAu | Alexandria via LeMat-Bulk | PBE | relaxed
# * volume: 18.104 Å³/atom
# * energy relative to the elements: -0.18 eV per atom
data_MgZn2AgAu
_chemical_formula_sum 'Mg4 Zn8 Ag4 Au4'
_cell_length_a 5.147
_cell_length_b 13.698
_cell_length_c 5.136
_cell_angle_alpha 90.00
_cell_angle_beta 90.00
_cell_angle_gamma 90.00
_space_group_name_H-M_alt 'C m c m'
_space_group_IT_number 63
_space_group_name_Hall '-C 2c 2'
loop_
_atom_site_label
_atom_site_fract_x
_atom_site_fract_y
_atom_site_fract_z
_atom_site_occupancy
Mg1 0.000 0.250 0.250 1
Zn1 0.250 0.000 0.000 1
Ag1 0.000 0.148 0.750 1
Au1 0.000 0.350 0.750 1

# 12
# MgZnAgAu2 | Alexandria via LeMat-Bulk | PBE | relaxed
# * volume: 17.317 Å³/atom
# * energy relative to the elements: -0.29 eV per atom
data_MgZnAgAu2
_chemical_formula_sum 'Mg2 Zn2 Ag2 Au4'
_cell_length_a 6.298
_cell_length_b 4.125
_cell_length_c 6.676
_cell_angle_alpha 90.00
_cell_angle_beta 93.30
_cell_angle_gamma 90.00
_space_group_name_H-M_alt 'P 1 21/m 1'
_space_group_IT_number 11
_space_group_name_Hall '-P 2yb'
loop_
_atom_site_label
_atom_site_fract_x
_atom_site_fract_y
_atom_site_fract_z
_atom_site_occupancy
Mg1 0.056 0.250 0.329 1
Zn1 0.461 0.250 0.157 1
Ag1 0.253 0.250 0.762 1
Au1 0.176 0.750 0.057 1
Au2 0.333 0.750 0.471 1

# 13
# MgZn2Ag2Au5 | Alexandria via LeMat-Bulk | PBE | relaxed
# * volume: 18.018 Å³/atom
# * energy relative to the elements: -0.18 eV per atom
data_MgZn2Ag2Au5
_chemical_formula_sum 'Mg2 Zn4 Ag4 Au10'
_cell_length_a 9.300
_cell_length_b 9.300
_cell_length_c 4.166
_cell_angle_alpha 90.00
_cell_angle_beta 90.00
_cell_angle_gamma 90.00
_space_group_name_H-M_alt 'P 4/m b m'
_space_group_IT_number 127
_space_group_name_Hall '-P 4 2ab'
loop_
_atom_site_label
_atom_site_fract_x
_atom_site_fract_y
_atom_site_fract_z
_atom_site_occupancy
Mg1 0.000 0.000 0.000 1
Zn1 0.126 0.374 0.000 1
Ag1 0.170 0.670 0.000 1
Au1 0.000 0.500 0.500 1
Au2 0.087 0.194 0.500 1

# 14
# MgZrAg2Au | Alexandria via LeMat-Bulk | PBE | relaxed
# * volume: 29.261 Å³/atom
# * energy relative to the elements: 0.81 eV per atom
data_MgZrAg2Au
_chemical_formula_sum 'Mg1 Zr1 Ag2 Au1'
_cell_length_a 5.294
_cell_length_b 5.294
_cell_length_c 5.219
_cell_angle_alpha 90.00
_cell_angle_beta 90.00
_cell_angle_gamma 90.00
_space_group_name_H-M_alt 'P 4/m m m'
_space_group_IT_number 123
_space_group_name_Hall '-P 4 2'
loop_
_atom_site_label
_atom_site_fract_x
_atom_site_fract_y
_atom_site_fract_z
_atom_site_occupancy
Mg1 0.000 0.000 0.000 1
Zr1 0.500 0.500 0.500 1
Ag1 0.000 0.500 0.500 1
Au1 0.500 0.500 0.000 1

# 15
# MnAg3Au6 | Alexandria via LeMat-Bulk | PBE | relaxed
# * volume: 17.714 Å³/atom
# * energy above the lowest structure with this stoichiometry: 0 meV per atom
# * energy relative to the elements: -0.04 eV per atom
data_MnAg3Au6
_chemical_formula_sum 'Mn2 Ag6 Au12'
_cell_length_a 7.693
_cell_length_b 7.705
_cell_length_c 7.773
_cell_angle_alpha 106.50
_cell_angle_beta 107.07
_cell_angle_gamma 114.55
_space_group_name_H-M_alt 'P -1'
_space_group_IT_number 2
_space_group_name_Hall '-P 1'
loop_
_atom_site_label
_atom_site_fract_x
_atom_site_fract_y
_atom_site_fract_z
_atom_site_occupancy
Mn1 0.186 0.233 0.155 1
Ag1 0.029 0.179 0.458 1
Ag2 0.225 0.579 0.051 1
Ag3 0.423 0.974 0.647 1
Au1 0.078 0.521 0.346 1
Au2 0.119 0.882 0.239 1
Au3 0.260 0.927 0.946 1
Au4 0.324 0.276 0.853 1
Au5 0.378 0.633 0.755 1
Au6 0.475 0.327 0.550 1

# 16
# Mn2AgAu | Alexandria via LeMat-Bulk | PBE | relaxed
# * volume: 16.127 Å³/atom
# * energy relative to the elements: 0.19 eV per atom
data_Mn2AgAu
_chemical_formula_sum 'Mn2 Ag1 Au1'
_cell_length_a 2.881
_cell_length_b 2.881
_cell_length_c 7.771
_cell_angle_alpha 90.00
_cell_angle_beta 90.00
_cell_angle_gamma 90.00
_space_group_name_H-M_alt 'P 4 m m'
_space_group_IT_number 99
_space_group_name_Hall 'P 4 -2'
loop_
_atom_site_label
_atom_site_fract_x
_atom_site_fract_y
_atom_site_fract_z
_atom_site_occupancy
Mn1 0.000 0.000 0.000 1
Mn2 0.500 0.500 0.224 1
Ag1 0.000 0.000 0.476 1
Au1 0.500 0.500 0.758 1

# 17
# MnAg14Au | Alexandria via LeMat-Bulk | PBE | relaxed
# * volume: 17.782 Å³/atom
# * energy relative to the elements: 0.05 eV per atom
data_MnAg14Au
_chemical_formula_sum 'Mn2 Ag28 Au2'
_cell_length_a 9.482
_cell_length_b 5.838
_cell_length_c 10.280
_cell_angle_alpha 90.00
_cell_angle_beta 90.00
_cell_angle_gamma 90.00
_space_group_name_H-M_alt 'A m m 2'
_space_group_IT_number 38
_space_group_name_Hall 'A 2 -2'
loop_
_atom_site_label
_atom_site_fract_x
_atom_site_fract_y
_atom_site_fract_z
_atom_site_occupancy
Mn1 0.000 0.000 0.000 1
Ag1 0.000 0.250 0.249 1
Ag2 0.248 0.248 0.914 1
Ag3 0.249 0.000 0.163 1
Ag4 0.250 0.000 0.664 1
Ag5 0.500 0.000 0.328 1
Ag6 0.500 0.000 0.829 1
Ag7 0.500 0.250 0.078 1
Au1 0.000 0.000 0.499 1

# 18
# MnAgAu3 | Alexandria via LeMat-Bulk | PBE | relaxed
# * volume: 19.889 Å³/atom
# * energy above the lowest structure with this stoichiometry: 0 meV per atom
# * energy relative to the elements: 0.12 eV per atom
data_MnAgAu3
_chemical_formula_sum 'Mn4 Ag4 Au12'
_cell_length_a 5.516
_cell_length_b 13.859
_cell_length_c 5.203
_cell_angle_alpha 90.00
_cell_angle_beta 90.00
_cell_angle_gamma 90.00
_space_group_name_H-M_alt 'C m c m'
_space_group_IT_number 63
_space_group_name_Hall '-C 2c 2'
loop_
_atom_site_label
_atom_site_fract_x
_atom_site_fract_y
_atom_site_fract_z
_atom_site_occupancy
Mn1 0.000 0.177 0.250 1
Ag1 0.000 0.358 0.750 1
Au1 0.000 0.000 0.000 1
Au2 0.249 0.342 0.250 1

# 19
# MnAg4Au3 | Alexandria via LeMat-Bulk | PBE | relaxed
# * volume: 17.660 Å³/atom
# * energy relative to the elements: 0.03 eV per atom
data_MnAg4Au3
_chemical_formula_sum 'Mn2 Ag8 Au6'
_cell_length_a 19.711
_cell_length_b 3.028
_cell_length_c 4.883
_cell_angle_alpha 90.00
_cell_angle_beta 104.18
_cell_angle_gamma 90.00
_space_group_name_H-M_alt 'C 1 2/m 1'
_space_group_IT_number 12
_space_group_name_Hall '-C 2y'
loop_
_atom_site_label
_atom_site_fract_x
_atom_site_fract_y
_atom_site_fract_z
_atom_site_occupancy
Mn1 0.000 0.000 0.000 1
Ag1 0.122 0.500 0.267 1
Ag2 0.124 0.000 0.773 1
Au1 0.000 0.500 0.500 1
Au2 0.250 0.000 0.251 1

# 20
# MnAgAu5 | Alexandria via LeMat-Bulk | PBE | relaxed
# * volume: 18.506 Å³/atom
# * energy relative to the elements: 0.03 eV per atom
data_MnAgAu5
_chemical_formula_sum 'Mn4 Ag4 Au20'
_cell_length_a 7.410
_cell_length_b 6.617
_cell_length_c 10.568
_cell_angle_alpha 90.00
_cell_angle_beta 90.00
_cell_angle_gamma 90.00
_space_group_name_H-M_alt 'C m c m'
_space_group_IT_number 63
_space_group_name_Hall '-C 2c 2'
loop_
_atom_site_label
_atom_site_fract_x
_atom_site_fract_y
_atom_site_fract_z
_atom_site_occupancy
Mn1 0.000 0.000 0.000 1
Ag1 0.000 0.354 0.250 1
Au1 0.000 0.061 0.750 1
Au2 0.198 0.352 0.609 1